(1)
DFT (GGA-PBE) results for LiLa2HgIr after structural relaxation.

```
LiLa2HgIr
1.0
-2.944 4.497 -1.206
-4.516 -3.106 -0.556
-1.013 0.619 4.779
Ir Li Hg La
1 1 1 2
Cartesian
0.000 0.000 0.000
-0.507 0.309 2.389
-4.237 1.005 1.508
-2.258 -1.553 -0.278
-1.472 2.249 -0.603
```

- energy relative to the lowest polymorph listed for this composition (eV per formula unit) = 0.710

---

(2)
DFT (GGA-PBE) results for LaLuHgIr after structural relaxation.

```
LaLuHgIr
1.0
5.127 0.000 0.000
2.564 4.440 0.000
2.564 1.480 4.186
Ir Lu Hg La
1 1 1 1
Cartesian
2.564 1.480 1.047
5.127 2.960 2.093
7.691 4.440 3.140
0.000 0.000 0.000
```

---

(3)
DFT (GGA-PBE) results for LaMgHgIr after structural relaxation.

```
LaMgHgIr
1.0
5.033 0.000 0.000
2.517 4.359 0.000
2.517 1.453 4.110
Mg Ir Hg La
1 1 1 1
Cartesian
2.517 1.453 1.027
0.000 0.000 0.000
5.033 2.906 2.055
7.550 4.359 3.082
```

---

(4)
DFT (GGA-PBE) results for LaMnHg2Ir after structural relaxation.

```
LaMnHg2Ir
1.0
-1.888 -3.946 -2.503
2.297 -2.864 2.782
-3.939 -0.108 3.141
Ir Hg Mn La
1 2 1 1
Cartesian
1.149 -1.432 1.391
-1.970 -0.054 1.571
-0.944 -1.973 -1.251
0.000 0.000 0.000
-1.765 -3.459 1.711
```

---

(5)
DFT (GGA-PBE) results for NaLa2HgIr after structural relaxation.

```
NaLa2HgIr
1.0
5.540 0.000 0.000
0.000 5.540 0.000
0.000 0.000 5.427
Na Ir Hg La
1 1 1 2
Cartesian
2.770 2.770 2.714
0.000 0.000 0.000
0.000 0.000 2.714
0.000 2.770 0.000
2.770 0.000 0.000
```

- energy relative to the lowest polymorph listed for this composition (eV per formula unit) = 0.000

---

(6)
DFT (GGA-PBE) results for NaLa2HgIr after structural relaxation.

```
NaLa2HgIr
1.0
5.479 0.000 0.000
0.000 5.479 0.000
0.000 0.000 5.544
Na Ir Hg La
1 1 1 2
Cartesian
0.000 0.000 2.772
0.000 0.000 0.000
2.739 2.739 2.772
0.000 2.739 0.000
2.739 0.000 0.000
```

- energy relative to the lowest polymorph listed for this composition (eV per formula unit) = 0.146

---

(7)
DFT (GGA-PBE) results for La8NiHg4Ir3 after structural relaxation.

```
La8NiHg4Ir3
1.0
8.361 0.000 0.000
0.000 9.356 0.697
-4.181 -4.178 5.915
La Ni Hg Ir
8 1 4 3
Cartesian
-2.079 2.497 6.193
0.000 4.572 3.268
0.000 0.581 3.364
2.079 2.497 6.193
2.102 2.680 0.419
4.181 4.596 3.247
4.181 0.606 3.344
6.259 2.680 0.419
0.000 4.678 0.348
4.181 0.000 0.000
2.090 -2.089 2.957
0.000 0.000 0.000
-2.090 -2.089 2.957
4.181 4.678 0.348
2.090 2.589 3.306
-2.090 2.589 3.306
```

---

(8)
DFT (GGA-PBE) results for La8Hg4Ir3Os after structural relaxation.

```
La8Hg4Ir3Os
1.0
-4.564 2.249 -6.690
-7.511 0.960 5.447
6.825 4.443 2.117
La Hg Ir Os
8 4 3 1
Cartesian
0.319 5.478 4.299
-3.138 3.228 3.226
0.147 3.280 1.002
-1.993 6.617 0.909
-3.257 1.035 -0.035
-5.397 4.372 -0.128
-2.112 4.424 -2.352
-5.569 2.174 -3.425
-2.282 1.125 -3.345
1.130 3.346 -2.286
0.000 0.000 0.000
3.413 2.222 1.059
-6.038 1.604 -0.622
-2.625 3.826 0.437
-0.343 2.702 3.782
-3.755 0.480 2.723
```

---

(9)
DFT (GGA-PBE) results for LaPaHgIr after structural relaxation.

```
LaPaHgIr
1.0
-2.266 -1.892 -2.742
1.594 -2.070 3.069
-5.538 3.420 5.184
La Pa Hg Ir
1 1 1 1
Cartesian
-4.548 1.011 2.506
0.893 -1.926 2.990
-3.498 -1.399 0.338
-4.774 1.292 5.460
```

---

(10)
DFT (GGA-PBE) results for La2HgIrPd after structural relaxation.

```
La2HgIrPd
1.0
5.448 0.000 0.000
0.000 4.983 0.000
0.000 0.000 5.448
Ir Hg Pd La
1 1 1 2
Cartesian
2.724 2.492 2.724
0.000 2.492 0.000
0.000 0.000 0.000
0.000 0.000 2.724
2.724 0.000 0.000
```

- energy relative to the lowest polymorph listed for this composition (eV per formula unit) = 3.722

---

(11)
DFT (GGA-PBE) results for La2HgIrPd after structural relaxation.

```
La2HgIrPd
1.0
4.325 0.000 0.000
0.000 8.004 -0.740
0.000 -4.099 7.801
La Hg Ir Pd
4 2 2 2
Cartesian
3.244 3.279 4.676
3.244 5.692 0.043
1.081 0.625 2.385
1.081 -1.787 7.019
1.081 4.933 2.583
3.244 -1.028 4.479
1.081 3.020 6.571
3.244 0.885 0.490
1.081 0.690 5.350
3.244 3.215 1.711
```

- energy relative to the lowest polymorph listed for this composition (eV per formula unit) = 0.000

---

(12)
DFT (GGA-PBE) results for LaPmHgIr after structural relaxation.

```
LaPmHgIr
1.0
5.232 0.000 0.000
2.616 4.531 0.000
2.616 1.510 4.272
Ir La Hg Pm
1 1 1 1
Cartesian
5.232 3.021 2.136
2.616 1.510 1.068
0.000 0.000 0.000
7.848 4.531 3.204
```

---

no.,calculated density (Mg/m³),ΔE_f (eV/atom),N(E_F) (states/eV/atom)
1,7.53,-0.387,0.584
2,12.31,-0.551,0.711
3,10.24,-0.326,0.936
4,11.17,0.211,0.777
5,6.91,-0.297,0.632
6,6.92,-0.268,0.474
7,8.69,-0.608,0.967
8,9.13,-0.546,0.858
9,11.27,-0.483,1.179
10,8.72,0.112,0.851
11,10.04,-0.632,0.766
12,11.10,-0.513,0.593